Entry 1:
Compound: Ba2SrCa12
Source: the Alexandria database
Functional: PBE
Structure: relaxed

Computed properties:
calculated total energy: -1.777 eV/atom
mass density: 1.87 g/cm³
total moment: 0.01 μB per cell
DOS at the Fermi energy: 1.225 states/eV per atom
energy of formation from the pure elements: 193.2 meV per atom

abc: 7.284 7.284 28.282
angles: 90.00 90.00 90.00
Fractional positions:
Ba1 0.250 0.750 0.214
Ba2 0.250 0.750 0.786
Ba3 0.750 0.250 0.214
Ba4 0.750 0.250 0.786
Sr1 0.250 0.750 0.500
Sr2 0.750 0.250 0.500
Ca1 0.058 0.558 0.378
Ca2 0.058 0.942 0.622
Ca3 0.077 0.577 0.942
Ca4 0.077 0.923 0.058
Ca5 0.250 0.250 0.151
Ca6 0.250 0.250 0.283
Ca7 0.250 0.250 0.717
Ca8 0.250 0.250 0.849
Ca9 0.423 0.577 0.058
Ca10 0.423 0.923 0.942
Ca11 0.442 0.558 0.622
Ca12 0.442 0.942 0.378
Ca13 0.558 0.058 0.622
Ca14 0.558 0.442 0.378
Ca15 0.577 0.077 0.058
Ca16 0.577 0.423 0.942
Ca17 0.750 0.750 0.151
Ca18 0.750 0.750 0.283
Ca19 0.750 0.750 0.717
Ca20 0.750 0.750 0.849
Ca21 0.923 0.077 0.942
Ca22 0.923 0.423 0.058
Ca23 0.942 0.058 0.378
Ca24 0.942 0.442 0.622

***

Entry 2:
Compound: Ba3SrCa4
Source: the Alexandria database
Functional: PBE
Structure: relaxed

Computed properties:
calculated total energy: -1.901 eV/atom
mass density: 2.69 g/cm³
total moment: 0.00 μB per cell
DOS at the Fermi energy: 1.329 states/eV per atom
energy of formation from the pure elements: 30.6 meV per atom

abc: 13.615 8.443 7.098
angles: 90.00 90.00 90.00
Fractional positions:
Ba1 0.000 0.131 0.000
Ba2 0.246 0.136 0.364
Ba3 0.254 0.864 0.864
Ba4 0.500 0.869 0.500
Ba5 0.746 0.864 0.864
Ba6 0.754 0.136 0.364
Sr1 0.000 0.619 0.016
Sr2 0.500 0.381 0.516
Ca1 0.000 0.387 0.518
Ca2 0.000 0.866 0.502
Ca3 0.244 0.619 0.360
Ca4 0.256 0.381 0.860
Ca5 0.500 0.134 0.002
Ca6 0.500 0.613 0.018
Ca7 0.744 0.381 0.860
Ca8 0.756 0.619 0.360

***

Entry 3:
Compound: BaSr2Ca5
Source: the Alexandria database
Functional: PBE
Structure: relaxed

Computed properties:
calculated total energy: -1.440 eV/atom
mass density: 2.05 g/cm³
total moment: 0.00 μB per cell
DOS at the Fermi energy: 1.600 states/eV per atom
energy of formation from the pure elements: 472.1 meV per atom

abc: 8.186 8.186 6.190
angles: 90.00 90.00 90.00
Fractional positions:
Ba1 0.000 0.000 0.000
Sr1 0.000 0.500 0.500
Sr2 0.500 0.000 0.500
Ca1 0.000 0.000 0.500
Ca2 0.277 0.277 0.000
Ca3 0.277 0.723 0.000
Ca4 0.723 0.277 0.000
Ca5 0.723 0.723 0.000

***

Entry 4:
Compound: Ba4SrCa
Source: the Alexandria database
Functional: PBE
Structure: relaxed

Computed properties:
calculated total energy: -1.876 eV/atom
mass density: 3.27 g/cm³
total moment: 0.00 μB per cell
DOS at the Fermi energy: 1.386 states/eV per atom
energy of formation from the pure elements: 19.4 meV per atom

abc: 11.865 6.888 8.420
angles: 90.00 90.21 90.00
Fractional positions:
Ba1 0.162 0.001 0.412
Ba2 0.162 0.999 0.912
Ba3 0.328 0.499 0.080
Ba4 0.328 0.501 0.580
Ba5 0.672 0.499 0.420
Ba6 0.672 0.501 0.920
Ba7 0.838 0.001 0.088
Ba8 0.838 0.999 0.588
Sr1 0.500 0.001 0.750
Sr2 0.500 0.999 0.250
Ca1 0.000 0.499 0.750
Ca2 0.000 0.501 0.250

***

Entry 5:
Compound: Ba2Sr5Ca4
Source: the Alexandria database
Functional: PBE
Structure: relaxed

Computed properties:
calculated total energy: -1.816 eV/atom
mass density: 2.60 g/cm³
total moment: 0.00 μB per cell
DOS at the Fermi energy: 1.350 states/eV per atom
energy of formation from the pure elements: 26.1 meV per atom

abc: 11.457 11.457 7.634
angles: 91.05 91.05 33.86
Fractional positions:
Ba1 0.092 0.092 0.039
Ba2 0.908 0.908 0.961
Sr1 0.000 0.000 0.500
Sr2 0.277 0.277 0.146
Sr3 0.363 0.363 0.668
Sr4 0.637 0.637 0.332
Sr5 0.723 0.723 0.854
Ca1 0.183 0.183 0.587
Ca2 0.458 0.458 0.224
Ca3 0.542 0.542 0.776
Ca4 0.817 0.817 0.413

***

Entry 6:
Compound: Ba16Sr6Ca7
Source: the Alexandria database
Functional: PBE
Structure: relaxed

Computed properties:
calculated total energy: -1.793 eV/atom
mass density: 2.86 g/cm³
total moment: 2.17 μB per cell
DOS at the Fermi energy: 1.324 states/eV per atom
energy of formation from the pure elements: 99.2 meV per atom

abc: 13.511 13.511 13.511
angles: 60.00 60.00 60.00
Fractional positions:
Ba1 0.007 0.664 0.664
Ba2 0.117 0.117 0.117
Ba3 0.117 0.117 0.649
Ba4 0.117 0.649 0.117
Ba5 0.336 0.336 0.336
Ba6 0.336 0.336 0.993
Ba7 0.336 0.993 0.336
Ba8 0.351 0.883 0.883
Ba9 0.649 0.117 0.117
Ba10 0.664 0.007 0.664
Ba11 0.664 0.664 0.007
Ba12 0.664 0.664 0.664
Ba13 0.883 0.351 0.883
Ba14 0.883 0.883 0.351
Ba15 0.883 0.883 0.883
Ba16 0.993 0.336 0.336
Sr1 0.282 0.282 0.718
Sr2 0.282 0.718 0.282
Sr3 0.282 0.718 0.718
Sr4 0.718 0.282 0.282
Sr5 0.718 0.282 0.718
Sr6 0.718 0.718 0.282
Ca1 0.000 0.000 0.000
Ca2 0.000 0.000 0.500
Ca3 0.000 0.500 0.000
Ca4 0.000 0.500 0.500
Ca5 0.500 0.000 0.000
Ca6 0.500 0.000 0.500
Ca7 0.500 0.500 0.000